Material: SrReP2N6
Method: DFT, PBE-GGA
State: relaxed

Values from the calculation:
D(E_F) = 13.067 states/eV/cell
Energy relative to the elements, uncorrected = -0.33 eV/atom
DFT total energy = -312.6 eV/cell
Total magnetization = 0.0547 μB per atom
V = 548 Å³/cell

```
data_SrReP2N6
_space_group_name_H-M_alt 'C 1 2/c 1'
_space_group_IT_number 15
_cell_length_a 9.863
_cell_length_b 10.884
_cell_length_c 5.439
_cell_angle_alpha 90.00
_cell_angle_beta 110.10
_cell_angle_gamma 90.00
loop_
_space_group_symop_operation_xyz
'x,y,z'
'-x,-y,-z'
'-x,y,-z+1/2'
'x,-y,z+1/2'
'x+1/2,y+1/2,z'
'-x+1/2,-y+1/2,-z'
'-x+1/2,y+1/2,-z+1/2'
'x+1/2,-y+1/2,z+1/2'
loop_
_atom_site_label
_atom_site_type_symbol
_atom_site_fract_x
_atom_site_fract_y
_atom_site_fract_z
Sr1 Sr 0.000 0.144 0.250
Re1 Re 0.000 0.300 0.750
P1 P 0.242 0.075 0.834
N1 N 0.090 0.379 0.071
N2 N 0.142 0.199 0.715
N3 N 0.193 0.018 0.075
```